Entry 1:
Density functional theory data (PBE-GGA) for a relaxed structure of RbPuSiO6.

- total magnetic moment (μB/cell) = 1.0
- DOS at the Fermi energy (states/eV/cell) = 0.01
- ΔE_f (raw) (eV/atom) = -2.2222

The structure in POSCAR format:
```
RbPuSiO6
1.0
5.127 0.000 0.000
-2.564 4.440 0.000
0.000 0.000 6.440
Rb Pu Si O
1 1 1 6
direct
0.000 0.000 0.000
0.333 0.667 0.500
0.667 0.333 0.500
0.389 0.031 0.662
0.389 0.358 0.338
0.642 0.031 0.338
0.642 0.611 0.662
0.969 0.358 0.662
0.969 0.611 0.338
```


Entry 2:
Density functional theory data (PBE-GGA) for a relaxed structure of V2H2Os.

- E_tot (eV/atom) = -7.085
- total magnetic moment (μB/cell) = 0.0
- DOS at the Fermi energy (states/eV/cell) = 8.26

The structure in POSCAR format:
```
V2H2Os
1.0
5.760 0.000 0.000
0.000 5.760 0.000
0.000 0.000 2.834
V H Os
4 4 2
direct
0.154 0.346 0.000
0.346 0.846 0.000
0.654 0.154 0.000
0.846 0.654 0.000
0.149 0.649 0.500
0.351 0.149 0.500
0.649 0.851 0.500
0.851 0.351 0.500
0.000 0.000 0.500
0.500 0.500 0.500
```


- Which value of DOS at the Fermi energy does entry 2 give?
  8.26 states/eV/cell


- What is the formula in the first record?
  RbPuSiO6


- DOS at the Fermi energy of number 2 (V2H2Os)?
  8.26 states/eV/cell


- Which value of DOS at the Fermi energy does entry 2 give?
  8.26 states/eV/cell